1.
DFT (PBE-GGA) results for a geometry-optimized TcB4 structure.

Geometry as CIF:
```
data_TcB4
_space_group_name_H-M_alt 'P 1'
_space_group_IT_number 1
_cell_length_a 5.294
_cell_length_b 5.294
_cell_length_c 6.493
_cell_angle_alpha 90.00
_cell_angle_beta 90.00
_cell_angle_gamma 120.00
loop_
_space_group_symop_operation_xyz
'x,y,z'
loop_
_atom_site_label
_atom_site_fract_x
_atom_site_fract_y
_atom_site_fract_z
_atom_site_occupancy
Tc1 0.667 0.333 0.750 1
Tc2 0.000 0.000 0.750 1
Tc3 0.000 0.000 0.250 1
Tc4 0.333 0.667 0.250 1
B1 0.336 0.000 0.500 1
B2 0.667 0.333 0.119 1
B3 0.336 0.336 0.000 1
B4 0.664 0.664 0.500 1
B5 0.664 0.664 0.000 1
B6 0.333 0.667 0.881 1
B7 0.336 0.336 0.500 1
B8 0.664 0.000 0.000 1
B9 0.333 0.667 0.619 1
B10 0.336 0.000 0.000 1
B11 0.664 0.000 0.500 1
B12 0.000 0.664 0.000 1
B13 0.000 0.664 0.500 1
B14 0.000 0.336 0.000 1
B15 0.667 0.333 0.381 1
B16 0.000 0.336 0.500 1
```

Calculated values
E = -7.047 eV/atom
space group = P6_3/mmc
volume = 39.4 Å³/f.u.

***

2.
DFT (PBE-GGA) results for a geometry-optimized TcB structure.

Geometry as CIF:
```
data_TcB
_space_group_name_H-M_alt 'P 1'
_space_group_IT_number 1
_cell_length_a 3.111
_cell_length_b 3.111
_cell_length_c 3.111
_cell_angle_alpha 120.00
_cell_angle_beta 90.00
_cell_angle_gamma 120.00
loop_
_space_group_symop_operation_xyz
'x,y,z'
loop_
_atom_site_label
_atom_site_fract_x
_atom_site_fract_y
_atom_site_fract_z
_atom_site_occupancy
Tc1 0.000 0.000 0.000 1
B1 0.500 0.000 0.500 1
```

Calculated values
E = -8.527 eV/atom
space group = Fm-3m
volume = 21.3 Å³/f.u.

***

3.
DFT (PBE-GGA) results for a geometry-optimized Tc3B structure.

Geometry as CIF:
```
data_Tc3B
_space_group_name_H-M_alt 'P 1'
_space_group_IT_number 1
_cell_length_a 2.828
_cell_length_b 2.828
_cell_length_c 7.267
_cell_angle_alpha 90.00
_cell_angle_beta 90.00
_cell_angle_gamma 120.00
loop_
_space_group_symop_operation_xyz
'x,y,z'
loop_
_atom_site_label
_atom_site_fract_x
_atom_site_fract_y
_atom_site_fract_z
_atom_site_occupancy
Tc1 0.667 0.333 0.500 1
Tc2 0.000 0.000 0.203 1
Tc3 0.000 0.000 0.797 1
B1 0.667 0.333 0.000 1
```

Calculated values
E = -9.565 eV/atom
space group = P-6m2
volume = 50.3 Å³/f.u.

***

4.
DFT (PBE-GGA) results for a geometry-optimized TcB structure.

Geometry as CIF:
```
data_TcB
_space_group_name_H-M_alt 'P 1'
_space_group_IT_number 1
_cell_length_a 3.637
_cell_length_b 3.637
_cell_length_c 4.283
_cell_angle_alpha 90.00
_cell_angle_beta 90.00
_cell_angle_gamma 120.00
loop_
_space_group_symop_operation_xyz
'x,y,z'
loop_
_atom_site_label
_atom_site_fract_x
_atom_site_fract_y
_atom_site_fract_z
_atom_site_occupancy
B1 0.000 0.000 0.937 1
B2 0.333 0.667 0.437 1
Tc1 0.000 0.000 0.438 1
Tc2 0.333 0.667 0.938 1
```

Calculated values
E = -8.573 eV/atom
space group = P6_3/mmc
volume = 24.5 Å³/f.u.

***

5.
DFT (PBE-GGA) results for a geometry-optimized Tc3B2 structure.

Geometry as CIF:
```
data_Tc3B2
_space_group_name_H-M_alt 'P 1'
_space_group_IT_number 1
_cell_length_a 6.079
_cell_length_b 6.079
_cell_length_c 2.946
_cell_angle_alpha 90.00
_cell_angle_beta 90.00
_cell_angle_gamma 90.00
loop_
_space_group_symop_operation_xyz
'x,y,z'
loop_
_atom_site_label
_atom_site_fract_x
_atom_site_fract_y
_atom_site_fract_z
_atom_site_occupancy
Tc1 0.500 0.500 0.000 1
Tc2 0.841 0.341 0.500 1
Tc3 0.341 0.159 0.500 1
Tc4 0.000 0.000 0.000 1
Tc5 0.159 0.659 0.500 1
Tc6 0.659 0.841 0.500 1
B1 0.370 0.870 0.000 1
B2 0.630 0.130 0.000 1
B3 0.130 0.370 0.000 1
B4 0.870 0.630 0.000 1
```

Calculated values
E = -9.113 eV/atom
space group = P4/mbm
volume = 54.4 Å³/f.u.

***

6.
DFT (PBE-GGA) results for a geometry-optimized TcB2Te structure.

Geometry as CIF:
```
data_TcB2Te
_space_group_name_H-M_alt 'P 1'
_space_group_IT_number 1
_cell_length_a 4.271
_cell_length_b 4.271
_cell_length_c 4.271
_cell_angle_alpha 60.00
_cell_angle_beta 60.00
_cell_angle_gamma 60.00
loop_
_space_group_symop_operation_xyz
'x,y,z'
loop_
_atom_site_label
_atom_site_fract_x
_atom_site_fract_y
_atom_site_fract_z
_atom_site_occupancy
Tc1 0.000 0.000 0.000 1
Te1 0.750 0.750 0.750 1
B1 0.250 0.250 0.250 1
B2 0.500 0.500 0.500 1
```

Calculated values
E = -5.035 eV/atom
space group = F-43m
volume = 55.1 Å³/f.u.

***

7.
DFT (PBE-GGA) results for a geometry-optimized TcBTe2 structure.

Geometry as CIF:
```
data_TcBTe2
_space_group_name_H-M_alt 'P 1'
_space_group_IT_number 1
_cell_length_a 4.687
_cell_length_b 4.687
_cell_length_c 4.687
_cell_angle_alpha 60.00
_cell_angle_beta 60.00
_cell_angle_gamma 60.00
loop_
_space_group_symop_operation_xyz
'x,y,z'
loop_
_atom_site_label
_atom_site_fract_x
_atom_site_fract_y
_atom_site_fract_z
_atom_site_occupancy
Te1 0.500 0.500 0.500 1
Te2 0.750 0.750 0.750 1
B1 0.000 0.000 0.000 1
Tc1 0.250 0.250 0.250 1
```

Calculated values
E = -4.386 eV/atom
space group = F-43m
volume = 72.8 Å³/f.u.

***

8.
DFT (PBE-GGA) results for a geometry-optimized TlTcB structure.

Geometry as CIF:
```
data_TlTcB
_space_group_name_H-M_alt 'P 1'
_space_group_IT_number 1
_cell_length_a 3.993
_cell_length_b 3.993
_cell_length_c 3.993
_cell_angle_alpha 60.00
_cell_angle_beta 60.00
_cell_angle_gamma 60.00
loop_
_space_group_symop_operation_xyz
'x,y,z'
loop_
_atom_site_label
_atom_site_fract_x
_atom_site_fract_y
_atom_site_fract_z
_atom_site_occupancy
B1 0.000 0.000 0.000 1
Tc1 0.250 0.250 0.250 1
Tl1 0.750 0.750 0.750 1
```

Calculated values
E = -5.504 eV/atom
space group = F-43m
volume = 45.0 Å³/f.u.

***

9.
DFT (PBE-GGA) results for a geometry-optimized TmTc2B2 structure.

Geometry as CIF:
```
data_TmTc2B2
_space_group_name_H-M_alt 'P 1'
_space_group_IT_number 1
_cell_length_a 5.500
_cell_length_b 5.500
_cell_length_c 5.500
_cell_angle_alpha 141.06
_cell_angle_beta 141.06
_cell_angle_gamma 56.25
loop_
_space_group_symop_operation_xyz
'x,y,z'
loop_
_atom_site_label
_atom_site_fract_x
_atom_site_fract_y
_atom_site_fract_z
_atom_site_occupancy
Tc1 0.250 0.750 0.500 1
Tc2 0.750 0.250 0.500 1
Tm1 0.000 0.000 0.000 1
B1 0.597 0.597 0.000 1
B2 0.403 0.403 0.000 1
```

Calculated values
E = -8.069 eV/atom
space group = I4/mmm
volume = 65.2 Å³/f.u.

***

10.
DFT (PBE-GGA) results for a geometry-optimized UTcB structure.

Geometry as CIF:
```
data_UTcB
_space_group_name_H-M_alt 'P 1'
_space_group_IT_number 1
_cell_length_a 4.069
_cell_length_b 4.069
_cell_length_c 4.069
_cell_angle_alpha 60.00
_cell_angle_beta 60.00
_cell_angle_gamma 60.00
loop_
_space_group_symop_operation_xyz
'x,y,z'
loop_
_atom_site_label
_atom_site_fract_x
_atom_site_fract_y
_atom_site_fract_z
_atom_site_occupancy
B1 0.000 0.000 0.000 1
U1 0.750 0.750 0.750 1
Tc1 0.250 0.250 0.250 1
```

Calculated values
E = -9.192 eV/atom
space group = F-43m
volume = 47.6 Å³/f.u.

***

11.
DFT (PBE-GGA) results for a geometry-optimized UTcB structure.

Geometry as CIF:
```
data_UTcB
_space_group_name_H-M_alt 'P 1'
_space_group_IT_number 1
_cell_length_a 4.197
_cell_length_b 4.197
_cell_length_c 4.197
_cell_angle_alpha 60.00
_cell_angle_beta 60.00
_cell_angle_gamma 60.00
loop_
_space_group_symop_operation_xyz
'x,y,z'
loop_
_atom_site_label
_atom_site_fract_x
_atom_site_fract_y
_atom_site_fract_z
_atom_site_occupancy
Tc1 0.750 0.750 0.750 1
B1 0.250 0.250 0.250 1
U1 0.000 0.000 0.000 1
```

Calculated values
E = -8.377 eV/atom
space group = F-43m
volume = 52.3 Å³/f.u.

***

12.
DFT (PBE-GGA) results for a geometry-optimized UTc3B structure.

Geometry as CIF:
```
data_UTc3B
_space_group_name_H-M_alt 'P 1'
_space_group_IT_number 1
_cell_length_a 4.202
_cell_length_b 4.202
_cell_length_c 4.202
_cell_angle_alpha 90.00
_cell_angle_beta 90.00
_cell_angle_gamma 90.00
loop_
_space_group_symop_operation_xyz
'x,y,z'
loop_
_atom_site_label
_atom_site_fract_x
_atom_site_fract_y
_atom_site_fract_z
_atom_site_occupancy
Tc1 0.000 0.000 0.500 1
Tc2 0.500 0.000 0.000 1
Tc3 0.000 0.500 0.000 1
U1 0.500 0.500 0.500 1
B1 0.000 0.000 0.000 1
```

Calculated values
E = -10.066 eV/atom
space group = Pm-3m
volume = 74.2 Å³/f.u.

***

13.
DFT (PBE-GGA) results for a geometry-optimized TcBW structure.

Geometry as CIF:
```
data_TcBW
_space_group_name_H-M_alt 'P 1'
_space_group_IT_number 1
_cell_length_a 4.006
_cell_length_b 4.006
_cell_length_c 4.006
_cell_angle_alpha 60.00
_cell_angle_beta 60.00
_cell_angle_gamma 60.00
loop_
_space_group_symop_operation_xyz
'x,y,z'
loop_
_atom_site_label
_atom_site_fract_x
_atom_site_fract_y
_atom_site_fract_z
_atom_site_occupancy
B1 0.500 0.500 0.500 1
W1 0.000 0.000 0.000 1
Tc1 0.750 0.750 0.750 1
```

Calculated values
E = -9.030 eV/atom
space group = F-43m
volume = 45.4 Å³/f.u.

***

14.
DFT (PBE-GGA) results for a geometry-optimized TcB4W structure.

Geometry as CIF:
```
data_TcB4W
_space_group_name_H-M_alt 'P 1'
_space_group_IT_number 1
_cell_length_a 4.529
_cell_length_b 4.529
_cell_length_c 4.529
_cell_angle_alpha 141.36
_cell_angle_beta 110.44
_cell_angle_gamma 82.52
loop_
_space_group_symop_operation_xyz
'x,y,z'
loop_
_atom_site_label
_atom_site_fract_x
_atom_site_fract_y
_atom_site_fract_z
_atom_site_occupancy
B1 0.916 0.248 0.668 1
B2 0.084 0.752 0.332 1
B3 0.580 0.248 0.332 1
B4 0.420 0.752 0.668 1
Tc1 0.000 0.000 0.000 1
W1 0.500 0.500 0.000 1
```

Calculated values
E = -8.411 eV/atom
space group = Immm
volume = 52.7 Å³/f.u.